An optimized crystal structure of Ca2MnO3. Source: Alexandria via LeMat-Bulk, functional PBE with a Hubbard U.

Lattice parameters (Å, degrees): 3.338 4.756 9.973 90.00 90.00 90.00
Positions (direct):
Ca 0.000 0.000 0.165
Ca 0.000 0.000 0.835
Ca 0.500 0.500 0.335
Ca 0.500 0.500 0.665
Mn 0.000 0.000 0.500
Mn 0.500 0.500 0.000
O 0.000 0.500 0.159
O 0.000 0.500 0.500
O 0.000 0.500 0.841
O 0.500 0.000 0.000
O 0.500 0.000 0.341
O 0.500 0.000 0.659

Calculated values
SG: Immm
VASP energy, Ha/atom: -0.2532